Computed, not measured: crystalline MgNb2H at its relaxed geometry at the PBE-GGA level of DFT.

Properties
Symmetry: No. 166
ΔE to the lowest computed polymorph (kcal/mol of atoms): 0.00
E (eV per atom): -5.98

a b c (Å): 8.563 8.563 8.563
angles (deg): 19.71 19.71 19.71
Positions (direct):
Mg (0.000, 0.000, 0.000)
Nb (0.114, 0.114, 0.114)
Nb (0.886, 0.886, 0.886)
H (0.500, 0.500, 0.500)